## HfGaNiAs (PBE-GGA)

Data for crystalline HfGaNiAs at its relaxed geometry.

energy relative to the lowest polymorph listed for this composition: 70 meV/atom
energy of formation from the pure elements: -415 meV/atom
crystal system: monoclinic

a b c (Å): 7.828 3.734 5.072
angles (deg): 90.00 112.30 90.00
Space group Cm (No. 8)
Inequivalent atoms, fractional coordinates:
Hf 0.000 0.000 0.000 x2
Ga 0.397 0.000 0.338 x2
Ni 0.212 0.500 0.385 x2
As 0.224 0.000 0.700 x2